{
  "formula": "Rb2IN2",
  "functional": "GGA-PBE",
  "state": "optimized geometry",
  "lattice_angstrom": [[4.6410, 0.0000, 1.5945], [2.1687, 4.2623, 1.2391], [-0.3798, 0.0727, 8.6571]],
  "species": ["Rb", "Rb", "I", "N", "N"],
  "fractional_positions": [[0.2269, 0.2673, 0.2789], [0.7731, 0.7327, 0.7211], [0.0000, 0.0000, 0.0000], [0.5461, 0.3722, 0.5357], [0.4539, 0.6278, 0.4643]],
  "m_tot_mub_per_fu": 1.001,
  "mass_density_g_cm3": 3.12,
  "raw_formation_energy_ev_per_atom": -0.65,
  "dos_ef_per_ev_fu": 2.3,
  "e_above_lowest_polymorph_ev_per_atom": 0.0000
}